# 1
Crystalline LiGd2Cd at its relaxed geometry, computed with GGA-PBE.

Relative energy among the computed polymorphs: 0 meV/atom
E: -31.6 eV per formula unit
Symmetry: No. 225
Formation enthalpy at 0 K: -0.1425 eV/atom

a b c (Å): 5.2985 5.2985 5.2985
angles (deg): 60.00 60.00 60.00
Fractional coordinates of all 4 atoms:
1 Li 0.0000 0.0000 0.0000
2 Gd 0.2500 0.2500 0.2500
3 Gd 0.7500 0.7500 0.7500
4 Cd 0.5000 0.5000 0.5000

***

# 2
Crystalline Li2GdCd at its relaxed geometry, computed with GGA-PBE.

Relative energy among the computed polymorphs: 29 meV/atom
E: -19.1 eV per formula unit
Symmetry: No. 123
Formation enthalpy at 0 K: -0.0582 eV/atom

a b c (Å): 3.5385 3.5385 7.0736
angles (deg): 90.00 90.00 90.00
Fractional coordinates of all 4 atoms:
1 Li 0.0000 0.0000 0.1992
2 Li 0.0000 0.0000 0.8008
3 Gd 0.5000 0.5000 0.5000
4 Cd 0.5000 0.5000 0.0000